# 1
Material: Sm3Mg7Pd2
Method: DFT, PBE
State: optimized geometry

a = 5.943 Å, b = 5.943 Å, c = 9.945 Å
α = 72.61°, β = 72.61°, γ = 60.00°
Sites, in units of the cell vectors:
Sm: 0.147 0.147 0.560
Sm: 0.000 0.000 0.000
Mg: 0.073 0.576 0.775
Mg: 0.927 0.424 0.225
Pd: 0.334 0.334 0.999
Mg: 0.576 0.576 0.775
Mg: 0.424 0.424 0.225
Sm: 0.853 0.853 0.440
Mg: 0.500 0.500 0.500
Mg: 0.424 0.927 0.225
Mg: 0.576 0.073 0.775
Pd: 0.666 0.666 0.001

Values from the calculation:
Density: 4.85 g cm⁻³
E: -0.120 Ha/atom
SG: R-3m

***

# 2
Material: Sm2MgPd
Method: DFT, PBE
State: optimized geometry

a = 3.688 Å, b = 6.632 Å, c = 8.921 Å
α = 90.00°, β = 90.00°, γ = 106.12°
Sites, in units of the cell vectors:
Sm: 0.633 0.266 0.446
Sm: 0.633 0.266 0.054
Pd: 0.743 0.486 0.750
Mg: 0.062 0.125 0.750
Pd: 0.257 0.514 0.250
Sm: 0.367 0.734 0.946
Mg: 0.938 0.875 0.250
Sm: 0.367 0.734 0.554

Values from the calculation:
Density: 6.84 g cm⁻³
E: -0.164 Ha/atom
SG: Cmcm

***

Which formula does entry 2 have? Sm2MgPd

***

What did the second record say?
Material: Sm2MgPd
Method: DFT, PBE
State: optimized geometry

a = 3.688 Å, b = 6.632 Å, c = 8.921 Å
α = 90.00°, β = 90.00°, γ = 106.12°
Sites, in units of the cell vectors:
Sm: 0.633 0.266 0.446
Sm: 0.633 0.266 0.054
Pd: 0.743 0.486 0.750
Mg: 0.062 0.125 0.750
Pd: 0.257 0.514 0.250
Sm: 0.367 0.734 0.946
Mg: 0.938 0.875 0.250
Sm: 0.367 0.734 0.554

Values from the calculation:
Density: 6.84 g cm⁻³
E: -0.164 Ha/atom
SG: Cmcm

***

Which formula does entry 1 have? Sm3Mg7Pd2

***

Among the records above, which one has the highest E? Sm3Mg7Pd2